Entry 1:
A relaxed structure of Tm2ZnNi, computed with PBE.

Space group   No. 123
ρ   9.573 Mg/m³
Energy above the most stable polymorph in this dataset   0.00 kcal/mol of atoms
ΔE_f   -0.414 eV per atom
Total magnetization   0.0 μB/f.u.

Unit cell a=3.4138 b=3.4138 c=6.8762 alpha=90.00 beta=90.00 gamma=90.00
Closest atoms and distances in Å follow each position.
Atoms (fractional coordinates):
Tm (0.0000, 0.0000, 0.2335)  4 Ni 2.90, 4 Zn 3.03, 1 Tm 3.21
Tm (0.0000, 0.0000, 0.7665)  4 Ni 2.90, 4 Zn 3.03, 1 Tm 3.21
Ni (0.5000, 0.5000, 0.0000)  8 Tm 2.90
Zn (0.5000, 0.5000, 0.5000)  8 Tm 3.03

Entry 2:
A relaxed structure of TmZn8Ni4, computed with PBE.

Space group   No. 139
ρ   8.348 Mg/m³
ΔE_f   -0.294 eV per atom
Total magnetization   0.0 μB/f.u.

Unit cell a=5.0614 b=6.5447 c=6.5447 alpha=81.40 beta=67.25 gamma=67.25
Closest atoms and distances in Å follow each position.
Atoms (fractional coordinates):
Zn (0.0000, 0.3406, 0.6594)  4 Ni 2.60, 5 Zn 2.72-2.74, 1 Tm 2.91
Zn (0.2785, 0.2215, 0.2215)  4 Ni 2.49, 6 Zn 2.67-2.74
Zn (0.3406, 0.6594, 0.6594)  4 Ni 2.60, 5 Zn 2.72-2.74, 1 Tm 2.91
Zn (0.6594, 0.3406, 0.3406)  4 Ni 2.60, 5 Zn 2.72-2.74, 1 Tm 2.91
Zn (0.7215, 0.7785, 0.7785)  4 Ni 2.49, 6 Zn 2.67-2.74
Zn (0.5000, 0.7785, 0.2215)  4 Ni 2.49, 6 Zn 2.67-2.74
Zn (0.5000, 0.2215, 0.7785)  4 Ni 2.49, 6 Zn 2.67-2.74
Zn (0.0000, 0.6594, 0.3406)  4 Ni 2.60, 5 Zn 2.72-2.74, 1 Tm 2.91
Ni (0.5000, 0.0000, 0.5000)  8 Zn 2.49-2.60, 2 Ni 2.53
Ni (0.0000, 0.0000, 0.5000)  8 Zn 2.49-2.60, 2 Ni 2.53
Ni (0.5000, 0.5000, 0.0000)  8 Zn 2.49-2.60, 2 Ni 2.53
Ni (0.0000, 0.5000, 0.0000)  8 Zn 2.49-2.60, 2 Ni 2.53
Tm (0.0000, 0.0000, 0.0000)  12 Zn 2.91-3.16

Entry 3:
A relaxed structure of Tm4Zn2Ni, computed with PBE.

Space group   No. 139
ρ   8.916 Mg/m³
ΔE_f   -0.237 eV per atom
Total magnetization   0.0 μB/f.u.

Unit cell a=5.9377 b=5.9377 c=5.9377 alpha=109.62 beta=109.40 gamma=109.40
Closest atoms and distances in Å follow each position.
Atoms (fractional coordinates):
Tm (0.5000, 0.5000, 0.5000)  4 Zn 2.97, 2 Ni 2.97
Tm (0.5000, 0.0000, 0.0000)  4 Zn 2.97, 2 Ni 2.97
Tm (0.0000, 0.5000, 0.0000)  4 Zn 2.97, 2 Ni 2.97
Tm (0.0000, 0.0000, 0.5000)  2 Ni 2.97, 4 Zn 2.97
Ni (0.0000, 0.0000, 0.0000)  8 Tm 2.97
Zn (0.5000, 0.0000, 0.5000)  8 Tm 2.97
Zn (0.5000, 0.5000, 0.0000)  8 Tm 2.97

Entry 4:
A relaxed structure of TmZn4Ni6, computed with PBE.

Space group   No. 121
ρ   7.919 Mg/m³
ΔE_f   -0.050 eV per atom
Total magnetization   0.0 μB/f.u.

Unit cell a=6.2554 b=6.2554 c=6.2554 alpha=84.67 beta=123.12 gamma=123.12
Closest atoms and distances in Å follow each position.
Atoms (fractional coordinates):
Ni (0.0000, 0.7390, 0.4159)  4 Ni 2.35-2.40, 4 Zn 2.36-2.57
Ni (0.3231, 0.5841, 0.5841)  4 Ni 2.35-2.40, 4 Zn 2.36-2.57
Ni (0.5000, 0.0000, 0.5000)  4 Ni 2.35
Ni (0.0000, 0.4159, 0.7390)  4 Ni 2.35-2.40, 4 Zn 2.36-2.57
Ni (0.6769, 0.2610, 0.2610)  4 Ni 2.35-2.40, 4 Zn 2.36-2.57
Ni (0.5000, 0.5000, 0.0000)  4 Ni 2.35
Zn (0.0000, 0.5088, 0.0958)  4 Ni 2.36-2.57
Zn (0.5870, 0.4912, 0.4912)  4 Ni 2.36-2.57
Zn (0.4130, 0.9042, 0.9042)  4 Ni 2.36-2.57
Zn (0.0000, 0.0958, 0.5088)  4 Ni 2.36-2.57
Tm (0.0000, 0.0000, 0.0000)  8 Ni 2.94-2.98, 8 Zn 3.08-3.29

Entry 5:
A relaxed structure of Tm5ZnNi2, computed with PBE.

Space group   No. 140
ρ   9.427 Mg/m³
ΔE_f   -0.338 eV per atom
Total magnetization   0.0 μB/f.u.

Unit cell a=7.4961 b=7.4961 c=8.3420 alpha=116.70 beta=116.70 gamma=90.00
Closest atoms and distances in Å follow each position.
Atoms (fractional coordinates):
Ni (0.3725, 0.8725, 0.0000)  1 Ni 2.70, 8 Tm 2.82-2.95
Ni (0.6275, 0.1275, 0.0000)  1 Ni 2.70, 8 Tm 2.82-2.95
Ni (0.8725, 0.6275, 0.0000)  1 Ni 2.70, 8 Tm 2.82-2.95
Ni (0.1275, 0.3725, 0.0000)  1 Ni 2.70, 8 Tm 2.82-2.95
Tm (0.4764, 0.3000, 0.2764)  3 Ni 2.82-2.86
Tm (0.3000, 0.8000, 0.2764)  3 Ni 2.82-2.86
Tm (0.2000, 0.0236, 0.7236)  3 Ni 2.82-2.86
Tm (0.5236, 0.7000, 0.7236)  3 Ni 2.82-2.86
Tm (0.8000, 0.9764, 0.2764)  3 Ni 2.82-2.86
Tm (0.5000, 0.5000, 0.0000)  4 Ni 2.95, 2 Zn 3.22
Tm (0.7000, 0.2000, 0.7236)  3 Ni 2.82-2.86
Tm (0.0000, 0.0000, 0.0000)  4 Ni 2.95, 2 Zn 3.22
Tm (0.9764, 0.4764, 0.2764)  3 Ni 2.82-2.86
Tm (0.0236, 0.5236, 0.7236)  3 Ni 2.82-2.86
Zn (0.2500, 0.2500, 0.5000)  10 Tm 3.16-3.22
Zn (0.7500, 0.7500, 0.5000)  10 Tm 3.16-3.22

Entry 6:
A relaxed structure of Tm2Zn3Ni2, computed with PBE.

Space group   No. 12
ρ   8.970 Mg/m³
ΔE_f   -0.403 eV per atom
Total magnetization   0.0 μB/f.u.

Unit cell a=4.1079 b=5.1794 c=6.3526 alpha=102.47 beta=90.00 gamma=113.36
Closest atoms and distances in Å follow each position.
Atoms (fractional coordinates):
Zn (0.2940, 0.5881, 0.1253)  2 Ni 2.54, 3 Zn 2.61-2.72
Zn (0.7060, 0.4119, 0.8747)  2 Ni 2.54, 3 Zn 2.61-2.72
Zn (0.0000, 0.0000, 0.0000)  2 Ni 2.47, 2 Zn 2.72
Tm (0.6188, 0.2376, 0.3501)  5 Ni 2.78-2.93, 3 Zn 3.04-3.08
Tm (0.3812, 0.7624, 0.6499)  5 Ni 2.78-2.93, 3 Zn 3.04-3.08
Ni (0.9076, 0.8153, 0.3318)  1 Ni 2.43, 3 Zn 2.47-2.54
Ni (0.0924, 0.1847, 0.6682)  1 Ni 2.43, 3 Zn 2.47-2.54